Record 1
## SmY8Sc2 (PBE-GGA)

Data for an optimized crystal structure of SmY8Sc2.

The structure in CIF format:
```
data_SmY8Sc2
_space_group_name_H-M_alt 'P 1'
_space_group_IT_number 1
_cell_length_a 5.391
_cell_length_b 8.170
_cell_length_c 9.272
_cell_angle_alpha 116.14
_cell_angle_beta 106.90
_cell_angle_gamma 90.00
loop_
_space_group_symop_operation_xyz
'x,y,z'
loop_
_atom_site_label
_atom_site_fract_x
_atom_site_fract_y
_atom_site_fract_z
Sm1 0.500 0.000 0.000
Y1 0.643 0.849 0.286
Y2 0.357 0.563 0.714
Y3 0.164 0.164 0.329
Y4 0.000 0.299 0.000
Y5 0.836 0.836 0.671
Y6 0.643 0.437 0.286
Y7 0.357 0.151 0.714
Y8 0.000 0.701 0.000
Sc1 0.200 0.700 0.400
Sc2 0.800 0.300 0.600
```

Output
The space group is Immm. Its formation energy is 0.1227 eV per atom.


Record 2
## CoMoPt (PBE-GGA)

Data for an optimized crystal structure of CoMoPt.

The structure in CIF format:
```
data_CoMoPt
_space_group_name_H-M_alt 'P 1'
_space_group_IT_number 1
_cell_length_a 5.921
_cell_length_b 5.921
_cell_length_c 2.732
_cell_angle_alpha 76.66
_cell_angle_beta 76.66
_cell_angle_gamma 26.68
loop_
_space_group_symop_operation_xyz
'x,y,z'
loop_
_atom_site_label
_atom_site_fract_x
_atom_site_fract_y
_atom_site_fract_z
Co1 0.005 0.005 0.995
Mo1 0.657 0.657 0.343
Pt1 0.338 0.338 0.662
```

Output
The space group is I4mm. Its formation energy is -0.1292 eV per atom.


Record 3
## Dy4YIn4 (PBE-GGA)

Data for an optimized crystal structure of Dy4YIn4.

The structure in CIF format:
```
data_Dy4YIn4
_space_group_name_H-M_alt 'P 1'
_space_group_IT_number 1
_cell_length_a 7.191
_cell_length_b 7.191
_cell_length_c 10.594
_cell_angle_alpha 90.00
_cell_angle_beta 90.00
_cell_angle_gamma 90.00
loop_
_space_group_symop_operation_xyz
'x,y,z'
loop_
_atom_site_label
_atom_site_fract_x
_atom_site_fract_y
_atom_site_fract_z
Dy1 0.228 0.500 0.917
Dy2 0.772 0.500 0.917
Dy3 0.500 0.772 0.083
Dy4 0.500 0.228 0.083
Dy5 0.000 0.728 0.417
Dy6 0.000 0.272 0.417
Dy7 0.272 0.000 0.583
Dy8 0.728 0.000 0.583
Y1 0.000 0.000 0.000
Y2 0.500 0.500 0.500
In1 0.500 0.779 0.784
In2 0.500 0.221 0.784
In3 0.779 0.500 0.216
In4 0.221 0.500 0.216
In5 0.279 0.000 0.284
In6 0.721 0.000 0.284
In7 0.000 0.279 0.716
In8 0.000 0.721 0.716
```

Output
The space group is P4_2/nmc. Its formation energy is -0.1339 eV per atom.


Record 4
## Nd2Sm15Tm2 (PBE-GGA)

Data for an optimized crystal structure of Nd2Sm15Tm2.

The structure in CIF format:
```
data_Nd2Sm15Tm2
_space_group_name_H-M_alt 'P 1'
_space_group_IT_number 1
_cell_length_a 8.848
_cell_length_b 8.848
_cell_length_c 8.848
_cell_angle_alpha 79.61
_cell_angle_beta 79.61
_cell_angle_gamma 79.61
loop_
_space_group_symop_operation_xyz
'x,y,z'
loop_
_atom_site_label
_atom_site_fract_x
_atom_site_fract_y
_atom_site_fract_z
Nd1 0.678 0.678 0.678
Nd2 0.322 0.322 0.322
Sm1 0.000 0.500 0.000
Sm2 0.000 0.000 0.500
Sm3 0.500 0.000 0.000
Sm4 0.294 0.000 0.706
Sm5 0.706 0.294 0.000
Sm6 0.000 0.706 0.294
Sm7 0.294 0.706 0.000
Sm8 0.000 0.294 0.706
Sm9 0.706 0.000 0.294
Sm10 0.372 0.849 0.372
Sm11 0.372 0.372 0.849
Sm12 0.849 0.372 0.372
Sm13 0.628 0.151 0.628
Sm14 0.628 0.628 0.151
Sm15 0.151 0.628 0.628
Tm1 0.905 0.905 0.905
Tm2 0.095 0.095 0.095
```

Output
The space group is R-3m. Its formation energy is 0.2574 eV per atom.


Record 5
## Ce8Ga2Co (PBE-GGA)

Data for an optimized crystal structure of Ce8Ga2Co.

The structure in CIF format:
```
data_Ce8Ga2Co
_space_group_name_H-M_alt 'P 1'
_space_group_IT_number 1
_cell_length_a 5.092
_cell_length_b 6.317
_cell_length_c 9.202
_cell_angle_alpha 109.22
_cell_angle_beta 106.06
_cell_angle_gamma 90.00
loop_
_space_group_symop_operation_xyz
'x,y,z'
loop_
_atom_site_label
_atom_site_fract_x
_atom_site_fract_y
_atom_site_fract_z
Ce1 0.416 0.600 0.831
Ce2 0.654 0.940 0.308
Ce3 0.782 0.771 0.563
Ce4 0.002 0.224 0.004
Ce5 0.218 0.229 0.437
Ce6 0.346 0.060 0.692
Ce7 0.584 0.400 0.169
Ce8 0.998 0.776 0.996
Ga1 0.832 0.327 0.665
Ga2 0.168 0.673 0.335
Co1 0.500 0.000 0.000
```

Output
The space group is C2/m. Its formation energy is -0.2199 eV per atom.


Record 6
## TbGa2Rh (PBE-GGA)

Data for an optimized crystal structure of TbGa2Rh.

The structure in CIF format:
```
data_TbGa2Rh
_space_group_name_H-M_alt 'P 1'
_space_group_IT_number 1
_cell_length_a 4.641
_cell_length_b 4.641
_cell_length_c 4.641
_cell_angle_alpha 60.00
_cell_angle_beta 60.00
_cell_angle_gamma 60.00
loop_
_space_group_symop_operation_xyz
'x,y,z'
loop_
_atom_site_label
_atom_site_fract_x
_atom_site_fract_y
_atom_site_fract_z
Rh1 0.500 0.500 0.500
Tb1 0.000 0.000 0.000
Ga1 0.250 0.250 0.250
Ga2 0.750 0.750 0.750
```

Output
The space group is Fm-3m. Its formation energy is -0.6217 eV per atom.


Record 7
## Sm2Dy3ScTe6 (PBE-GGA)

Data for an optimized crystal structure of Sm2Dy3ScTe6.

The structure in CIF format:
```
data_Sm2Dy3ScTe6
_space_group_name_H-M_alt 'P 1'
_space_group_IT_number 1
_cell_length_a 4.335
_cell_length_b 8.743
_cell_length_c 9.740
_cell_angle_alpha 102.51
_cell_angle_beta 102.86
_cell_angle_gamma 90.00
loop_
_space_group_symop_operation_xyz
'x,y,z'
loop_
_atom_site_label
_atom_site_fract_x
_atom_site_fract_y
_atom_site_fract_z
Sm1 0.830 0.665 0.661
Sm2 0.170 0.335 0.339
Dy1 0.500 0.500 0.000
Dy2 0.825 0.163 0.649
Dy3 0.175 0.837 0.351
Sc1 0.500 0.000 0.000
Te1 0.341 0.926 0.683
Te2 0.663 0.587 0.326
Te3 0.659 0.074 0.317
Te4 0.996 0.239 0.992
Te5 0.004 0.761 0.008
Te6 0.337 0.413 0.674
```

Output
The space group is C2/m. The uncorrected formation energy is -1.28 eV per atom.


Record 8
## Pr4FeBr5 (PBE-GGA)

Data for an optimized crystal structure of Pr4FeBr5.

The structure in CIF format:
```
data_Pr4FeBr5
_space_group_name_H-M_alt 'P 1'
_space_group_IT_number 1
_cell_length_a 4.168
_cell_length_b 9.175
_cell_length_c 9.487
_cell_angle_alpha 104.40
_cell_angle_beta 102.69
_cell_angle_gamma 90.00
loop_
_space_group_symop_operation_xyz
'x,y,z'
loop_
_atom_site_label
_atom_site_fract_x
_atom_site_fract_y
_atom_site_fract_z
Pr1 0.639 0.073 0.277
Pr2 0.001 0.230 0.002
Pr3 0.361 0.927 0.723
Pr4 0.999 0.770 0.998
Fe1 0.500 0.000 0.000
Br1 0.168 0.323 0.336
Br2 0.170 0.849 0.340
Br3 0.830 0.151 0.660
Br4 0.500 0.500 0.000
Br5 0.832 0.677 0.664
```

Output
The space group is C2/m. The uncorrected formation energy is -1.29 eV per atom.


Record 9
## GaCuPt2 (PBE-GGA)

Data for an optimized crystal structure of GaCuPt2.

The structure in CIF format:
```
data_GaCuPt2
_space_group_name_H-M_alt 'P 1'
_space_group_IT_number 1
_cell_length_a 2.884
_cell_length_b 2.884
_cell_length_c 6.951
_cell_angle_alpha 90.00
_cell_angle_beta 90.00
_cell_angle_gamma 90.00
loop_
_space_group_symop_operation_xyz
'x,y,z'
loop_
_atom_site_label
_atom_site_fract_x
_atom_site_fract_y
_atom_site_fract_z
Cu1 0.500 0.500 0.500
Ga1 0.500 0.500 0.000
Pt1 0.000 0.000 0.755
Pt2 0.000 0.000 0.245
```

Output
The space group is P4/mmm. Its formation energy is -0.4313 eV per atom.


Record 10
## NbTeCBr2 (PBE-GGA)

Data for an optimized crystal structure of NbTeCBr2.

The structure in CIF format:
```
data_NbTeCBr2
_space_group_name_H-M_alt 'P 1'
_space_group_IT_number 1
_cell_length_a 5.977
_cell_length_b 3.972
_cell_length_c 5.977
_cell_angle_alpha 90.00
_cell_angle_beta 90.00
_cell_angle_gamma 90.00
loop_
_space_group_symop_operation_xyz
'x,y,z'
loop_
_atom_site_label
_atom_site_fract_x
_atom_site_fract_y
_atom_site_fract_z
Nb1 0.500 0.500 0.500
Te1 0.000 0.000 0.000
C1 0.000 0.500 0.000
Br1 0.000 0.000 0.500
Br2 0.500 0.000 0.000
```

Output
The space group is P4/mmm. The uncorrected formation energy is 1.63 eV per atom.


Record 11
## Li2LaY (PBE-GGA)

Data for an optimized crystal structure of Li2LaY.

The structure in CIF format:
```
data_Li2LaY
_space_group_name_H-M_alt 'P 1'
_space_group_IT_number 1
_cell_length_a 5.112
_cell_length_b 3.445
_cell_length_c 6.640
_cell_angle_alpha 75.04
_cell_angle_beta 90.00
_cell_angle_gamma 90.00
loop_
_space_group_symop_operation_xyz
'x,y,z'
loop_
_atom_site_label
_atom_site_fract_x
_atom_site_fract_y
_atom_site_fract_z
La1 0.500 0.800 0.775
Li1 0.000 0.186 0.001
Li2 0.500 0.061 0.256
Y1 0.000 0.453 0.469
```

Output
The space group is Pm. Its formation energy is 0.1381 eV per atom.


Record 12
## ZrRe2Rh (PBE-GGA)

Data for an optimized crystal structure of ZrRe2Rh.

The structure in CIF format:
```
data_ZrRe2Rh
_space_group_name_H-M_alt 'P 1'
_space_group_IT_number 1
_cell_length_a 5.275
_cell_length_b 5.275
_cell_length_c 5.275
_cell_angle_alpha 142.37
_cell_angle_beta 132.22
_cell_angle_gamma 62.36
loop_
_space_group_symop_operation_xyz
'x,y,z'
loop_
_atom_site_label
_atom_site_fract_x
_atom_site_fract_y
_atom_site_fract_z
Re1 0.006 0.006 0.000
Re2 0.494 0.494 0.000
Rh1 0.750 0.250 0.500
Zr1 0.250 0.750 0.500
```

Output
The space group is Immm. Its formation energy is -0.0121 eV per atom.


Sequential total DFT energy (no corrections) output: -6.16, -8.12, -4.11, -4.44, -5.73, -5.13, -5.31, -4.88, -5.23, -3.53, -3.67, -10.21 eV/atom